Entry 1:
! LaPdRuC2 (PBEsol, optimized geometry); values from VASP
! formation enthalpy at 0 K: 1785 meV/atom
&SYSTEM
  ibrav = 0, nat = 5, ntyp = 4
/
ATOMIC_SPECIES
C 12.01 C.upf
La 138.91 La.upf
Ru 101.07 Ru.upf
Pd 106.42 Pd.upf
CELL_PARAMETERS angstrom
3.893 0.000 0.000
0.000 3.893 0.000
0.000 0.000 5.708
ATOMIC_POSITIONS crystal
C 0.000 0.500 0.000
La 0.000 0.000 0.500
Ru 0.500 0.500 0.500
Pd 0.000 0.000 0.000
C 0.500 0.000 0.000



Entry 2:
! ZnOs (PBEsol, optimized geometry); values from VASP
! formation enthalpy at 0 K: 230 meV/atom
&SYSTEM
  ibrav = 0, nat = 2, ntyp = 2
/
ATOMIC_SPECIES
Zn 65.41 Zn.upf
Os 190.23 Os.upf
CELL_PARAMETERS angstrom
-2.707 -0.140 -0.184
1.303 -1.391 1.935
-0.354 3.352 2.649
ATOMIC_POSITIONS crystal
Zn 0.667 0.333 0.500
Os 0.000 0.000 0.000



Entry 3:
! LiSiMo2 (PBEsol, optimized geometry); values from VASP
! formation energy without anion corrections: 0.090 eV/atom
&SYSTEM
  ibrav = 0, nat = 4, ntyp = 3
/
ATOMIC_SPECIES
Mo 95.94 Mo.upf
Si 28.09 Si.upf
Li 6.94 Li.upf
CELL_PARAMETERS angstrom
2.644 0.000 0.002
0.000 4.113 0.000
-1.269 0.000 5.062
ATOMIC_POSITIONS crystal
Mo 0.744 0.000 0.748
Si 0.500 0.500 0.000
Mo 0.256 0.000 0.252
Li 0.000 0.500 0.500



Entry 4:
! K3InF6 (PBEsol, optimized geometry); values from VASP
! formation energy without anion corrections: -2.701 eV/atom
&SYSTEM
  ibrav = 0, nat = 10, ntyp = 3
/
ATOMIC_SPECIES
In 114.82 In.upf
K 39.10 K.upf
F 19.00 F.upf
CELL_PARAMETERS angstrom
-0.158 1.108 6.292
-3.678 -3.602 3.787
2.683 -4.157 4.045
ATOMIC_POSITIONS crystal
In 0.000 0.000 0.000
K 0.750 0.750 0.750
F 0.229 0.229 0.771
F 0.771 0.229 0.771
K 0.500 0.500 0.500
F 0.229 0.771 0.229
F 0.771 0.229 0.229
K 0.250 0.250 0.250
F 0.229 0.771 0.771
F 0.771 0.771 0.229



Entry 5:
! Co2ReAu (PBEsol, optimized geometry); values from VASP
! formation enthalpy at 0 K: 259 meV/atom
! energy above the lowest structure with this stoichiometry: 0.00 eV per formula unit
&SYSTEM
  ibrav = 0, nat = 4, ntyp = 3
/
ATOMIC_SPECIES
Au 196.97 Au.upf
Re 186.21 Re.upf
Co 58.93 Co.upf
CELL_PARAMETERS angstrom
-2.094 -0.851 -1.414
-0.245 -2.099 1.626
-4.490 3.871 4.321
ATOMIC_POSITIONS crystal
Au 0.500 0.500 0.764
Re 0.000 0.000 0.469
Co 0.000 0.000 0.029
Co 0.500 0.500 0.238



Entry 6:
! Be4NiRu (PBEsol, optimized geometry); values from VASP
! formation enthalpy at 0 K: -286 meV/atom
&SYSTEM
  ibrav = 0, nat = 6, ntyp = 3
/
ATOMIC_SPECIES
Be 9.01 Be.upf
Ru 101.07 Ru.upf
Ni 58.69 Ni.upf
CELL_PARAMETERS angstrom
4.216 0.000 0.000
2.108 3.651 0.000
2.108 1.217 3.442
ATOMIC_POSITIONS crystal
Be 0.125 0.625 0.625
Ru 0.000 0.000 0.000
Be 0.625 0.125 0.625
Be 0.625 0.625 0.625
Be 0.625 0.625 0.125
Ni 0.250 0.250 0.250



Entry 7:
! YNiSe2 (PBEsol, optimized geometry); values from VASP
! formation energy without anion corrections: -0.767 eV/atom
&SYSTEM
  ibrav = 0, nat = 4, ntyp = 3
/
ATOMIC_SPECIES
Se 78.96 Se.upf
Ni 58.69 Ni.upf
Y 88.91 Y.upf
CELL_PARAMETERS angstrom
4.116 0.000 0.000
2.058 3.564 0.000
2.058 1.188 7.499
ATOMIC_POSITIONS crystal
Se 0.099 0.099 0.704
Ni 0.000 0.000 0.000
Y 0.500 0.500 0.500
Se 0.901 0.901 0.296



Entry 8:
! ZrMo2 (PBEsol, optimized geometry); values from VASP
! formation enthalpy at 0 K: -71 meV/atom
! energy above the lowest structure with this stoichiometry: 0.17 eV per formula unit
&SYSTEM
  ibrav = 0, nat = 3, ntyp = 2
/
ATOMIC_SPECIES
Zr 91.22 Zr.upf
Mo 95.94 Mo.upf
CELL_PARAMETERS angstrom
-3.065 -0.050 0.896
-0.642 -2.105 -2.314
2.840 -2.696 3.868
ATOMIC_POSITIONS crystal
Zr 0.500 0.500 0.000
Mo 0.180 0.180 0.359
Mo 0.820 0.820 0.641



Entry 9:
! YTeMo2 (PBEsol, optimized geometry); values from VASP
! formation energy without anion corrections: 0.122 eV/atom
&SYSTEM
  ibrav = 0, nat = 4, ntyp = 3
/
ATOMIC_SPECIES
Te 127.60 Te.upf
Mo 95.94 Mo.upf
Y 88.91 Y.upf
CELL_PARAMETERS angstrom
-1.447 1.953 2.359
-3.850 -2.095 -0.626
1.774 -4.157 3.005
ATOMIC_POSITIONS crystal
Te 0.654 0.000 0.512
Mo 0.939 0.000 0.050
Y 0.232 0.500 0.731
Mo 0.675 0.500 0.207



Entry 10:
! K2RbMoAu (PBEsol, optimized geometry); values from VASP
! formation enthalpy at 0 K: 1535 meV/atom
&SYSTEM
  ibrav = 0, nat = 5, ntyp = 4
/
ATOMIC_SPECIES
Mo 95.94 Mo.upf
K 39.10 K.upf
Rb 85.47 Rb.upf
Au 196.97 Au.upf
CELL_PARAMETERS angstrom
5.702 0.000 0.000
0.000 6.656 0.000
0.000 0.000 6.656
ATOMIC_POSITIONS crystal
Mo 0.500 0.500 0.500
K 0.000 0.500 0.000
Rb 0.000 0.000 0.000
K 0.000 0.000 0.500
Au 0.500 0.000 0.000



Entry 11:
! Zr2CoBr (PBEsol, optimized geometry); values from VASP
! energy above the lowest structure with this stoichiometry: 0.87 eV per formula unit
! formation energy without anion corrections: -0.096 eV/atom
&SYSTEM
  ibrav = 0, nat = 4, ntyp = 3
/
ATOMIC_SPECIES
Br 79.90 Br.upf
Co 58.93 Co.upf
Zr 91.22 Zr.upf
CELL_PARAMETERS angstrom
3.123 0.000 0.000
0.000 4.385 0.000
0.000 0.000 5.039
ATOMIC_POSITIONS crystal
Br 0.500 0.500 0.000
Co 0.500 0.000 0.500
Zr 0.000 0.000 0.000
Zr 0.000 0.500 0.500



Entry 12:
! AlAgO2 (PBEsol, optimized geometry); values from VASP
! formation energy without anion corrections: -1.866 eV/atom
&SYSTEM
  ibrav = 0, nat = 16, ntyp = 3
/
ATOMIC_SPECIES
Ag 107.87 Ag.upf
Al 26.98 Al.upf
O 16.00 O.upf
CELL_PARAMETERS angstrom
-1.532 4.592 2.285
-3.185 -2.770 3.431
5.234 -0.480 4.473
ATOMIC_POSITIONS crystal
Ag 0.443 0.506 0.144
Ag 0.943 0.506 0.356
Al 0.072 0.999 0.124
O 0.391 0.935 0.166
O 0.891 0.935 0.334
O 0.034 0.313 0.068
Ag 0.057 0.006 0.644
Ag 0.557 0.006 0.856
Al 0.928 0.499 0.876
O 0.966 0.813 0.932
O 0.609 0.435 0.834
Al 0.572 0.999 0.376
O 0.466 0.813 0.568
O 0.534 0.313 0.432
Al 0.428 0.499 0.624
O 0.109 0.435 0.666